# BaPuTe3Au

A relaxed structure of BaPuTe3Au (PBE, Alexandria via LeMat-Bulk).

a = 9.262 Å, b = 4.536 Å, c = 10.133 Å
α = 90.00°, β = 105.47°, γ = 90.00°
Space group P2_1/m (No. 11)
Asymmetric unit:
Ba1 0.195 0.250 0.252 [2 per cell]
Pu1 0.324 0.750 0.842 [2 per cell]
Te1 0.101 0.250 0.870 [2 per cell]
Te2 0.247 0.750 0.527 [2 per cell]
Te3 0.445 0.750 0.163 [2 per cell]
Au1 0.087 0.250 0.587 [2 per cell]

Computed properties:
* final energy: -5.870 eV per atom
* DOS at the Fermi energy: 27.543 states/eV/cell
* ΔE_f (raw): -1.044 eV per atom
* calculated density: 7.78 Mg/m³

=====

# LaSiTe2

A relaxed structure of LaSiTe2 (PBE, Alexandria via LeMat-Bulk).

a = 4.5013 Å, b = 4.5013 Å, c = 27.8615 Å
α = 90.00°, β = 90.00°, γ = 120.00°
Space group R-3m (No. 166, hexagonal axes)
Asymmetric unit:
La1 0.0000 0.0000 0.0000 [3 per cell]
Si1 0.0000 0.0000 0.5000 [3 per cell]
Te1 0.0000 0.0000 0.4009 [6 per cell]

Computed properties:
* final energy: -4.468 eV per atom
* DOS at the Fermi energy: 7.374 states/eV/cell
* ΔE_f (raw): -0.309 eV per atom
* calculated density: 4.30 Mg/m³

=====

# Cr2NiMoN

A relaxed structure of Cr2NiMoN (PBE, Alexandria via LeMat-Bulk).

a = 3.786 Å, b = 3.786 Å, c = 4.046 Å
α = 90.00°, β = 90.00°, γ = 90.00°
Space group P4/mmm (No. 123)
Asymmetric unit:
Cr1 0.000 0.500 0.000 [2 per cell]
Ni1 0.000 0.000 0.500 [1 per cell]
Mo1 0.500 0.500 0.500 [1 per cell]
N1 0.500 0.500 0.000 [1 per cell]

Computed properties:
* final energy: -8.950 eV per atom
* DOS at the Fermi energy: 6.503 states/eV/cell
* ΔE_f (raw): -0.113 eV per atom
* calculated density: 7.80 Mg/m³

=====

# Li2InHgI6

A relaxed structure of Li2InHgI6 (PBE, Alexandria via LeMat-Bulk).

a = 14.887 Å, b = 14.317 Å, c = 7.620 Å
α = 90.00°, β = 104.34°, γ = 90.00°
Space group C2/c (No. 15)
Asymmetric unit:
Li1 0.178 0.092 0.288 [8 per cell]
In1 0.000 0.414 0.250 [4 per cell]
Hg1 0.000 0.181 0.750 [4 per cell]
I1 0.113 0.253 0.087 [8 per cell]
I2 0.125 0.423 0.637 [8 per cell]
I3 0.142 0.081 0.627 [8 per cell]

Computed properties:
* final energy: -2.252 eV per atom
* DOS at the Fermi energy: 24.896 states/eV/cell
* ΔE_f (raw): -0.635 eV per atom
* calculated density: 4.60 Mg/m³